Entry 1:
First-principles (GGA-PBE) data for a relaxed structure of BaSm2Cd2, as listed in Alexandria via LeMat-Bulk.

POSCAR file:
```
BaSm2Cd2
1.0
3.8580 0.0000 0.0000
0.0000 4.0115 0.7601
0.0000 0.0027 10.9515
Sm Cd Ba
2 2 1
Direct
0.0000 0.1834 0.6333
0.0000 0.8166 0.3667
0.5000 0.6109 0.7782
0.5000 0.3891 0.2218
0.0000 0.0000 0.0000
```

Calculated values
**V**: 169.5 Å³ per cell
**VASP energy**: -2.750 eV/atom

***

Entry 2:
First-principles (GGA-PBE) data for a relaxed structure of LaPmPrEr2, as listed in Alexandria via LeMat-Bulk.

POSCAR file:
```
LaPmPrEr2
1.0
7.2465 0.0000 0.0000
0.0000 8.5109 0.0000
0.0000 -4.2554 5.8359
Er Pm La Pr
4 2 2 2
Direct
0.0000 0.6874 0.0000
0.0000 0.3126 0.0000
0.5000 0.6874 0.0000
0.5000 0.3126 0.0000
0.7500 0.0000 0.0000
0.2500 0.0000 0.0000
0.7500 0.2673 0.5346
0.2500 0.7327 0.4654
0.7500 0.7237 0.4474
0.2500 0.2763 0.5526
```

Calculated values
**V**: 359.9 Å³ per cell
**VASP energy**: -4.387 eV/atom

***

Entry 3:
First-principles (GGA-PBE) data for a relaxed structure of Zn2WCl, as listed in Alexandria via LeMat-Bulk.

POSCAR file:
```
Zn2WCl
1.0
-1.8416 3.3903 3.7239
-3.4624 1.0817 3.9489
2.3299 -1.2331 4.1311
W Zn Cl
1 2 1
Direct
0.2205 0.2205 0.1957
0.9574 0.9574 0.0861
0.7669 0.7669 0.7028
0.5552 0.5552 0.5153
```

Calculated values
**V**: 69.0 Å³ per cell
**Energy above the most stable polymorph in this dataset**: 147 meV per atom
**VASP energy**: -4.035 eV/atom

***

Entry 4:
First-principles (GGA-PBE) data for a relaxed structure of Nd3SmSb2, as listed in Alexandria via LeMat-Bulk.

POSCAR file:
```
Nd3SmSb2
1.0
4.5907 0.0000 0.0000
0.0000 4.5907 0.0000
0.0000 0.0000 8.8454
Nd Sm Sb
3 1 2
Direct
0.0000 0.5000 0.6447
0.0000 0.0000 0.0000
0.5000 0.0000 0.3553
0.5000 0.5000 0.0000
0.0000 0.5000 0.2779
0.5000 0.0000 0.7221
```

Calculated values
**V**: 186.4 Å³ per cell
**Energy above the most stable polymorph in this dataset**: 0 meV per atom
**VASP energy**: -5.372 eV/atom

***

Q: Look up the VASP energy of the third one.
A: -4.035 eV/atom